{"formula": "ZnCr2Mo", "functional": "PBE", "state": "relaxed", "lattice": [[4.9298, 0.0064, 0.0067], [2.2083, 4.4075, -0.0067], [-3.1401, -2.9007, 2.4553]], "species": ["Zn", "Cr", "Mo", "Cr"], "fractional_positions": [[0.2426, 0.7426, 0.5000], [0.9797, 0.9797, 0.0000], [0.5161, 0.5161, 0.0000], [0.7616, 0.2616, 0.5000]], "sg": "No. 44", "e_tot_ev_per_atom": -7.65, "formation_enthalpy_0k_kcal_per_mol_atoms": 4.4}